# PmCd3Hg PBE relaxed
data_PmCd3Hg
_symmetry_space_group_name_H-M 'P m m n'
_symmetry_Int_Tables_number 59
_cell_length_a 5.002
_cell_length_b 7.040
_cell_length_c 6.965
_cell_angle_alpha 90.00
_cell_angle_beta 90.00
_cell_angle_gamma 90.00
loop_
_symmetry_equiv_pos_as_xyz
'x,y,z'
'-x,-y,-z'
'-x+1/2,-y+1/2,z'
'x+1/2,y+1/2,-z'
'x+1/2,-y,-z'
'-x+1/2,y,z'
'-x,y+1/2,-z'
'x,-y+1/2,z'
loop_
_atom_site_label
_atom_site_type_symbol
_atom_site_fract_x
_atom_site_fract_y
_atom_site_fract_z
_atom_site_occupancy
Pm1 Pm 0.250 0.250 0.239 1
Cd1 Cd 0.250 0.051 0.741 1
Cd2 Cd 0.250 0.750 0.450 1
Hg1 Hg 0.250 0.750 0.044 1
# Energy relative to the lowest polymorph listed for this composition (eV per atom): 0.000
# Spin magnetization (μB per formula unit): 0.00

***

# Cs2K2Ti PBE relaxed
data_Cs2K2Ti
_symmetry_space_group_name_H-M 'I 4/m m m'
_symmetry_Int_Tables_number 139
_symmetry_space_group_name_Hall '-I 4 2'
_cell_length_a 5.437
_cell_length_b 5.437
_cell_length_c 25.642
_cell_angle_alpha 90.00
_cell_angle_beta 90.00
_cell_angle_gamma 90.00
loop_
_atom_site_label
_atom_site_type_symbol
_atom_site_fract_x
_atom_site_fract_y
_atom_site_fract_z
_atom_site_occupancy
Cs1 Cs 0.000 0.000 0.084 1
K1 K 0.000 0.500 0.250 1
Ti1 Ti 0.000 0.000 0.500 1
# Energy relative to the lowest polymorph listed for this composition (eV per atom): 0.009
# Spin magnetization (μB per formula unit): 3.35